# 1
! HfCo3Cu PBE optimized geometry; values from VASP
&SYSTEM
  ibrav = 0, nat = 5, ntyp = 3
/
ATOMIC_SPECIES
Co 58.93 Co.upf
Hf 178.49 Hf.upf
Cu 63.55 Cu.upf
CELL_PARAMETERS angstrom
4.2477 0.0000 0.0000
0.0000 4.2477 0.0000
0.0000 0.0000 4.2477
ATOMIC_POSITIONS crystal
Co 0.0000 0.5000 0.0000
Hf 0.5000 0.5000 0.5000
Cu 0.0000 0.0000 0.0000
Co 0.0000 0.0000 0.5000
Co 0.5000 0.0000 0.0000
! DOS(E_F) = 1.719 states/eV per atom
! ΔH_f (0 K) = 0.832 eV/atom



# 2
! FeNi2 PBE optimized geometry; values from VASP
&SYSTEM
  ibrav = 0, nat = 9, ntyp = 2
/
ATOMIC_SPECIES
Fe 55.84 Fe.upf
Ni 58.69 Ni.upf
CELL_PARAMETERS angstrom
6.8778 0.0000 0.0000
-3.4389 5.9563 0.0000
0.0000 0.0000 2.4680
ATOMIC_POSITIONS crystal
Fe 0.0000 0.0000 0.5000
Ni 0.6921 0.6921 0.0000
Fe 0.6667 0.3333 0.0000
Ni 0.0000 0.6436 0.5000
Ni 0.6436 0.0000 0.5000
Ni 0.3564 0.3564 0.5000
Ni 0.0000 0.3079 0.0000
Ni 0.3079 0.0000 0.0000
Fe 0.3333 0.6667 0.0000
! DOS(E_F) = 0.948 states/eV per atom
! ΔH_f (0 K) = -0.015 eV/atom



# 3
! Li2OsPb PBE optimized geometry; values from VASP
&SYSTEM
  ibrav = 0, nat = 4, ntyp = 3
/
ATOMIC_SPECIES
Os 190.23 Os.upf
Pb 207.20 Pb.upf
Li 6.94 Li.upf
CELL_PARAMETERS angstrom
2.8458 0.0192 0.0000
-0.7388 2.7483 0.0000
0.0000 0.0000 9.1612
ATOMIC_POSITIONS crystal
Os 0.5000 0.5000 0.2500
Pb 0.5000 0.5000 0.7500
Li 0.0000 0.0000 0.0340
Li 0.0000 0.0000 0.4660
! DOS(E_F) = 0.599 states/eV per atom
! ΔH_f (0 K) = 0.410 eV/atom



# 4
! Y2Tm7Th2 PBE optimized geometry; values from VASP
&SYSTEM
  ibrav = 0, nat = 11, ntyp = 3
/
ATOMIC_SPECIES
Y 88.91 Y.upf
Tm 168.93 Tm.upf
Th 232.04 Th.upf
CELL_PARAMETERS angstrom
8.4116 -1.4066 0.1751
-1.7378 5.4743 1.5452
-0.8097 1.4066 8.3743
ATOMIC_POSITIONS crystal
Y 0.2362 0.8843 0.7638
Tm 0.9405 0.1816 0.5945
Tm 0.5925 0.3788 0.4075
Tm 0.0595 0.8184 0.4055
Y 0.7638 0.1157 0.2362
Tm 0.4075 0.6212 0.5925
Tm 0.0000 0.0000 0.0000
Tm 0.5945 0.8184 0.9405
Th 0.2141 0.5000 0.2141
Tm 0.4055 0.1816 0.0595
Th 0.7859 0.5000 0.7859
! DOS(E_F) = 1.458 states/eV per atom
! ΔH_f (0 K) = 0.188 eV/atom
! offset from the most stable computed form = 0.007 eV per atom



# 5
! ReTcAu PBE optimized geometry; values from VASP
&SYSTEM
  ibrav = 0, nat = 3, ntyp = 3
/
ATOMIC_SPECIES
Tc 98.00 Tc.upf
Au 196.97 Au.upf
Re 186.21 Re.upf
CELL_PARAMETERS angstrom
6.2071 -0.0102 0.0000
4.8934 3.8188 0.0000
-5.5502 -1.9043 2.0240
ATOMIC_POSITIONS crystal
Tc 0.6818 0.6818 0.0000
Au 0.9999 0.9999 0.0000
Re 0.3183 0.3183 0.0000
! DOS(E_F) = 0.523 states/eV per atom
! ΔH_f (0 K) = 0.239 eV/atom
! offset from the most stable computed form = 0.072 eV per atom



# 6
! La2CoSiBi PBE optimized geometry; values from VASP
&SYSTEM
  ibrav = 0, nat = 5, ntyp = 4
/
ATOMIC_SPECIES
La 138.91 La.upf
Bi 208.98 Bi.upf
Si 28.09 Si.upf
Co 58.93 Co.upf
CELL_PARAMETERS angstrom
-0.5362 -0.2574 -5.4350
5.4344 -0.2975 -0.5220
-0.2181 -4.3868 0.2293
ATOMIC_POSITIONS crystal
La 0.0000 0.5000 0.0000
La 0.5000 0.0000 0.0000
Bi 0.5000 0.5000 0.5000
Si 0.0000 0.0000 0.5000
Co 0.0000 0.0000 0.0000
! DOS(E_F) = 0.737 states/eV per atom
! energy relative to the elements, uncorrected = -0.613 eV/atom



# 7
! LiUTlTe3 PBE optimized geometry; values from VASP
&SYSTEM
  ibrav = 0, nat = 12, ntyp = 4
/
ATOMIC_SPECIES
U 238.03 U.upf
Tl 204.38 Tl.upf
Li 6.94 Li.upf
Te 127.60 Te.upf
CELL_PARAMETERS angstrom
-2.6433 -2.9989 1.9611
-2.3795 -3.4982 -8.5566
8.0529 -5.1886 2.9200
ATOMIC_POSITIONS crystal
U 0.7500 0.3233 0.8433
Tl 0.2500 0.1955 0.2498
Li 0.2500 0.0797 0.5931
Te 0.2500 0.1161 0.8774
Te 0.7500 0.8839 0.1226
U 0.2500 0.6767 0.1567
Te 0.7500 0.2221 0.5329
Li 0.7500 0.9203 0.4069
Tl 0.7500 0.8045 0.7502
Te 0.2500 0.7779 0.4671
Te 0.2500 0.5465 0.8371
Te 0.7500 0.4535 0.1629
! DOS(E_F) = 1.138 states/eV per atom
! energy relative to the elements, uncorrected = -0.652 eV/atom



# 8
! Hg2PCl2 PBE optimized geometry; values from VASP
&SYSTEM
  ibrav = 0, nat = 10, ntyp = 3
/
ATOMIC_SPECIES
Cl 35.45 Cl.upf
Hg 200.59 Hg.upf
P 30.97 P.upf
CELL_PARAMETERS angstrom
-2.4811 5.3291 1.3171
-3.2776 -2.0644 4.6137
2.9799 2.6379 6.6361
ATOMIC_POSITIONS crystal
Cl 0.7247 0.2753 0.5000
Hg 0.5000 0.0000 0.0000
Cl 0.1096 0.1096 0.7798
Cl 0.2753 0.7247 0.5000
Hg 0.2939 0.2939 0.4289
Hg 0.0000 0.5000 0.0000
P 0.6380 0.6380 0.9152
P 0.3620 0.3620 0.0848
Cl 0.8904 0.8904 0.2202
Hg 0.7061 0.7061 0.5711
! DOS(E_F) = 0.000 states/eV per atom
! energy relative to the elements, uncorrected = -0.406 eV/atom



# 9
! Dy4CdAu PBE optimized geometry; values from VASP
&SYSTEM
  ibrav = 0, nat = 12, ntyp = 3
/
ATOMIC_SPECIES
Dy 162.50 Dy.upf
Cd 112.41 Cd.upf
Au 196.97 Au.upf
CELL_PARAMETERS angstrom
6.7956 0.0000 -0.3010
0.0000 7.5689 0.0000
-0.4048 0.0000 7.2665
ATOMIC_POSITIONS crystal
Dy 0.0982 0.3496 0.8436
Cd 0.0000 0.0000 0.0000
Dy 0.8226 0.1693 0.3363
Cd 0.5000 0.5000 0.0000
Dy 0.3226 0.3307 0.3363
Au 0.5000 0.0000 0.5000
Au 0.0000 0.5000 0.5000
Dy 0.4018 0.8496 0.1564
Dy 0.6774 0.6693 0.6637
Dy 0.1774 0.8307 0.6637
Dy 0.9018 0.6504 0.1564
Dy 0.5982 0.1504 0.8436
! DOS(E_F) = 1.407 states/eV per atom
! ΔH_f (0 K) = -0.145 eV/atom
! offset from the most stable computed form = 0.277 eV per atom



# 10
! Nd2SmTmTe6 PBE optimized geometry; values from VASP
&SYSTEM
  ibrav = 0, nat = 10, ntyp = 4
/
ATOMIC_SPECIES
Sm 150.36 Sm.upf
Te 127.60 Te.upf
Tm 168.93 Tm.upf
Nd 144.24 Nd.upf
CELL_PARAMETERS angstrom
-4.4024 -0.0433 6.5068
-0.2927 -6.4316 4.5021
3.9679 0.2214 7.4276
ATOMIC_POSITIONS crystal
Sm 0.8226 0.8226 0.5323
Te 0.1024 0.4256 0.7587
Te 0.9342 0.5931 0.2526
Tm 0.3239 0.3238 0.0285
Te 0.5931 0.2201 0.2526
Te 0.7134 0.1023 0.7587
Nd 0.5138 0.5138 0.4588
Te 0.4255 0.7134 0.7587
Te 0.2201 0.9341 0.2526
Nd 0.0128 0.0128 0.9617
! energy relative to the elements, uncorrected = -1.366 eV/atom



# 11
! MnGaRh2Se PBE optimized geometry; values from VASP
&SYSTEM
  ibrav = 0, nat = 5, ntyp = 4
/
ATOMIC_SPECIES
Mn 54.94 Mn.upf
Rh 102.91 Rh.upf
Ga 69.72 Ga.upf
Se 78.96 Se.upf
CELL_PARAMETERS angstrom
-1.7657 -4.1479 0.5844
1.0734 0.1650 4.4141
-3.9713 1.8170 0.8978
ATOMIC_POSITIONS crystal
Mn 0.0000 0.0000 0.0000
Rh 0.0000 0.5000 0.0000
Ga 0.5000 0.5000 0.5000
Se 0.0000 0.0000 0.5000
Rh 0.5000 0.0000 0.0000
! DOS(E_F) = 1.056 states/eV per atom
! energy relative to the elements, uncorrected = 0.655 eV/atom



# 12
! Ti9Pt11Rh4 PBE optimized geometry; values from VASP
&SYSTEM
  ibrav = 0, nat = 24, ntyp = 3
/
ATOMIC_SPECIES
Pt 195.08 Pt.upf
Ti 47.87 Ti.upf
Rh 102.91 Rh.upf
CELL_PARAMETERS angstrom
-1.5610 -0.8249 2.2591
-7.1790 -6.0675 -7.1762
8.9604 -6.7605 3.7227
ATOMIC_POSITIONS crystal
Pt 0.0000 0.7957 0.7957
Ti 0.5000 0.5909 0.1665
Pt 0.0000 0.0274 0.3971
Pt 0.0000 0.3971 0.0274
Pt 0.0000 0.3756 0.6244
Ti 0.5000 0.7905 0.9811
Pt 0.0000 0.6029 0.9726
Ti 0.5000 0.5000 0.5000
Pt 0.0000 0.0000 0.0000
Ti 0.5000 0.8335 0.4091
Rh 0.5000 0.2522 0.4175
Pt 0.0000 0.8060 0.1940
Ti 0.5000 0.1665 0.5909
Pt 0.0000 0.6244 0.3756
Pt 0.0000 0.2043 0.2043
Ti 0.5000 0.2095 0.0189
Pt 0.0000 0.9726 0.6029
Rh 0.5000 0.4175 0.2522
Ti 0.5000 0.9811 0.7905
Pt 0.0000 0.1940 0.8060
Rh 0.5000 0.7478 0.5825
Ti 0.5000 0.4091 0.8335
Ti 0.5000 0.0189 0.2095
Rh 0.5000 0.5825 0.7478
! DOS(E_F) = 1.042 states/eV per atom
! ΔH_f (0 K) = -0.754 eV/atom



# 13
! Nb2Ir3Ru3 PBE optimized geometry; values from VASP
&SYSTEM
  ibrav = 0, nat = 8, ntyp = 3
/
ATOMIC_SPECIES
Nb 92.91 Nb.upf
Ru 101.07 Ru.upf
Ir 192.22 Ir.upf
CELL_PARAMETERS angstrom
3.9195 0.0000 0.0000
0.0000 3.9111 0.0000
0.0000 0.0000 7.8301
ATOMIC_POSITIONS crystal
Nb 0.0000 0.0000 0.2516
Ru 0.0000 0.5000 0.5000
Ru 0.5000 0.0000 0.5000
Ru 0.0000 0.5000 0.0000
Ir 0.5000 0.5000 0.7502
Ir 0.5000 0.0000 0.0000
Nb 0.0000 0.0000 0.7484
Ir 0.5000 0.5000 0.2498
! DOS(E_F) = 0.987 states/eV per atom
! ΔH_f (0 K) = -0.399 eV/atom



# 14
! DyThAl2Ga2 PBE optimized geometry; values from VASP
&SYSTEM
  ibrav = 0, nat = 6, ntyp = 4
/
ATOMIC_SPECIES
Th 232.04 Th.upf
Ga 69.72 Ga.upf
Dy 162.50 Dy.upf
Al 26.98 Al.upf
CELL_PARAMETERS angstrom
4.2904 0.0000 0.0000
-2.1452 3.7156 0.0000
0.0000 0.0000 8.3257
ATOMIC_POSITIONS crystal
Th 0.0000 0.0000 0.0000
Ga 0.6667 0.3333 0.7398
Ga 0.3333 0.6667 0.2602
Dy 0.0000 0.0000 0.5000
Al 0.6667 0.3333 0.2562
Al 0.3333 0.6667 0.7438
! DOS(E_F) = 0.479 states/eV per atom
! ΔH_f (0 K) = -0.559 eV/atom



# 15
! CaCe3Pr2Se6 PBE optimized geometry; values from VASP
&SYSTEM
  ibrav = 0, nat = 12, ntyp = 4
/
ATOMIC_SPECIES
Se 78.96 Se.upf
Pr 140.91 Pr.upf
Ce 140.12 Ce.upf
Ca 40.08 Ca.upf
CELL_PARAMETERS angstrom
4.2113 0.0000 0.0000
0.0000 8.4965 0.2812
-2.1056 -2.4716 8.9020
ATOMIC_POSITIONS crystal
Se 0.3361 0.9210 0.6722
Pr 0.1689 0.3375 0.3378
Ce 0.5000 0.5000 0.0000
Se 0.6645 0.5858 0.3290
Se 0.3355 0.4142 0.6710
Ce 0.8316 0.1676 0.6631
Ca 0.5000 0.0000 0.0000
Se 0.9991 0.2448 0.9983
Se 0.0009 0.7552 0.0017
Ce 0.1684 0.8324 0.3369
Pr 0.8311 0.6625 0.6622
Se 0.6639 0.0790 0.3278
! DOS(E_F) = 1.666 states/eV per atom
! energy relative to the elements, uncorrected = -1.847 eV/atom



# 16
! Ti2NbTl PBE optimized geometry; values from VASP
&SYSTEM
  ibrav = 0, nat = 4, ntyp = 3
/
ATOMIC_SPECIES
Nb 92.91 Nb.upf
Ti 47.87 Ti.upf
Tl 204.38 Tl.upf
CELL_PARAMETERS angstrom
-1.5530 -2.2270 1.5098
1.1981 -1.2553 2.5767
-4.4379 5.3705 6.5525
ATOMIC_POSITIONS crystal
Nb 0.6669 0.6669 0.9993
Ti 0.2554 0.2554 0.2337
Ti 0.0779 0.0779 0.7664
Tl 0.4998 0.4998 0.5007
! DOS(E_F) = 1.503 states/eV per atom
! ΔH_f (0 K) = 0.176 eV/atom
! offset from the most stable computed form = 0.211 eV per atom



# 17
! Re2NiAgB PBE optimized geometry; values from VASP
&SYSTEM
  ibrav = 0, nat = 5, ntyp = 4
/
ATOMIC_SPECIES
Re 186.21 Re.upf
Ni 58.69 Ni.upf
Ag 107.87 Ag.upf
B 10.81 B.upf
CELL_PARAMETERS angstrom
-1.7844 -3.0518 3.3838
3.2854 0.1622 1.8788
-1.6584 3.8197 2.5704
ATOMIC_POSITIONS crystal
Re 0.5000 0.0000 0.0000
Ni 0.5000 0.5000 0.5000
Ag 0.0000 0.0000 0.0000
Re 0.0000 0.0000 0.5000
B 0.0000 0.5000 0.0000
! DOS(E_F) = 1.420 states/eV per atom
! ΔH_f (0 K) = 2.848 eV/atom



# 18
! YZr2V PBE optimized geometry; values from VASP
&SYSTEM
  ibrav = 0, nat = 4, ntyp = 3
/
ATOMIC_SPECIES
Zr 91.22 Zr.upf
V 50.94 V.upf
Y 88.91 Y.upf
CELL_PARAMETERS angstrom
0.0000 3.5568 3.5568
3.5568 0.0000 3.5568
3.5568 3.5568 0.0000
ATOMIC_POSITIONS crystal
Zr 0.7500 0.7500 0.7500
Zr 0.2500 0.2500 0.2500
V 0.0000 0.0000 0.0000
Y 0.5000 0.5000 0.5000
! DOS(E_F) = 1.348 states/eV per atom
! ΔH_f (0 K) = 0.335 eV/atom
! offset from the most stable computed form = 0.150 eV per atom



# 19
! Dy2Y2ErTm2 PBE optimized geometry; values from VASP
&SYSTEM
  ibrav = 0, nat = 7, ntyp = 4
/
ATOMIC_SPECIES
Er 167.26 Er.upf
Y 88.91 Y.upf
Dy 162.50 Dy.upf
Tm 168.93 Tm.upf
CELL_PARAMETERS angstrom
5.6244 0.0000 0.0000
2.8122 4.8709 0.0000
2.8122 1.6236 8.0929
ATOMIC_POSITIONS crystal
Er 0.0000 0.0000 0.0000
Y 0.8587 0.8587 0.4238
Dy 0.7137 0.7137 0.8589
Dy 0.2863 0.2863 0.1411
Y 0.1413 0.1413 0.5762
Tm 0.4292 0.4292 0.7125
Tm 0.5708 0.5708 0.2875
! DOS(E_F) = 2.436 states/eV per atom
! ΔH_f (0 K) = 0.136 eV/atom



# 20
! Ba2Ni2Ge PBE optimized geometry; values from VASP
&SYSTEM
  ibrav = 0, nat = 5, ntyp = 3
/
ATOMIC_SPECIES
Ni 58.69 Ni.upf
Ba 137.33 Ba.upf
Ge 72.64 Ge.upf
CELL_PARAMETERS angstrom
4.0355 0.0000 1.1585
1.8515 3.5857 1.1585
-0.6575 -0.4005 9.8982
ATOMIC_POSITIONS crystal
Ni 0.6813 0.6813 0.9561
Ba 0.5749 0.5749 0.2753
Ni 0.3187 0.3187 0.0439
Ge 0.0000 0.0000 0.0000
Ba 0.4251 0.4251 0.7247
! DOS(E_F) = 1.116 states/eV per atom
! ΔH_f (0 K) = -0.280 eV/atom



# 21
! AgN PBE optimized geometry; values from VASP
&SYSTEM
  ibrav = 0, nat = 12, ntyp = 2
/
ATOMIC_SPECIES
Ag 107.87 Ag.upf
N 14.01 N.upf
CELL_PARAMETERS angstrom
-0.5372 -5.8691 1.4354
5.4494 -1.0931 -2.4301
2.6099 1.0743 5.3694
ATOMIC_POSITIONS crystal
Ag 0.5000 0.0000 0.7500
N 0.2500 0.0000 0.5000
N 0.5000 0.7500 0.0000
N 0.0000 0.5000 0.2500
Ag 0.0000 0.2500 0.5000
Ag 0.5000 0.0000 0.2500
Ag 0.0000 0.7500 0.5000
N 0.0000 0.5000 0.7500
Ag 0.2500 0.5000 0.0000
N 0.7500 0.0000 0.5000
N 0.5000 0.2500 0.0000
Ag 0.7500 0.5000 0.0000
! DOS(E_F) = 0.504 states/eV per atom
! energy relative to the elements, uncorrected = 1.762 eV/atom
! offset from the most stable computed form = 1.504 eV per atom



# 22
! Sr2PmCd12Ag3 PBE optimized geometry; values from VASP
&SYSTEM
  ibrav = 0, nat = 18, ntyp = 4
/
ATOMIC_SPECIES
Cd 112.41 Cd.upf
Sr 87.62 Sr.upf
Ag 107.87 Ag.upf
Pm 145.00 Pm.upf
CELL_PARAMETERS angstrom
-7.0232 -1.9381 6.1799
0.7813 -0.2836 9.5175
-3.9394 6.1413 6.1675
ATOMIC_POSITIONS crystal
Cd 0.7698 0.1483 0.7698
Sr 0.4064 0.4064 0.4064
Cd 0.8324 0.8324 0.4744
Cd 0.2302 0.8517 0.2302
Cd 0.8324 0.4744 0.8324
Ag 0.0000 0.0000 0.5000
Cd 0.2302 0.2302 0.8517
Cd 0.1676 0.1676 0.5256
Pm 0.0000 0.0000 0.0000
Cd 0.7698 0.7698 0.1483
Ag 0.0000 0.5000 0.0000
Ag 0.5000 0.0000 0.0000
Sr 0.5936 0.5936 0.5936
Cd 0.1483 0.7698 0.7698
Cd 0.5256 0.1676 0.1676
Cd 0.4744 0.8324 0.8324
Cd 0.8517 0.2302 0.2302
Cd 0.1676 0.5256 0.1676
! DOS(E_F) = 0.386 states/eV per atom
! ΔH_f (0 K) = 0.062 eV/atom



# 23
! NaTlS2 PBE optimized geometry; values from VASP
&SYSTEM
  ibrav = 0, nat = 16, ntyp = 3
/
ATOMIC_SPECIES
S 32.06 S.upf
Tl 204.38 Tl.upf
Na 22.99 Na.upf
CELL_PARAMETERS angstrom
-3.6874 12.7582 -7.7368
1.8286 -1.5315 -3.3971
-4.2799 -8.3350 1.4540
ATOMIC_POSITIONS crystal
S 0.8752 0.0856 0.4883
S 0.1248 0.9144 0.5117
Tl 0.1440 0.5592 0.2678
S 0.3752 0.4144 0.9883
S 0.5130 0.5753 0.2843
Na 0.3821 0.9136 0.7731
Na 0.6179 0.0864 0.2269
Na 0.8821 0.5864 0.2731
S 0.9870 0.0753 0.2157
Na 0.1179 0.4136 0.7269
S 0.0130 0.9247 0.7843
Tl 0.8560 0.4408 0.7322
S 0.4870 0.4247 0.7157
S 0.6248 0.5856 0.0117
Tl 0.6440 0.9408 0.7678
Tl 0.3560 0.0592 0.2322
! DOS(E_F) = 0.000 states/eV per atom
! energy relative to the elements, uncorrected = -0.510 eV/atom



# 24
! BePtN2O PBE optimized geometry; values from VASP
&SYSTEM
  ibrav = 0, nat = 5, ntyp = 4
/
ATOMIC_SPECIES
O 16.00 O.upf
Be 9.01 Be.upf
N 14.01 N.upf
Pt 195.08 Pt.upf
CELL_PARAMETERS angstrom
3.5097 0.0000 0.0000
0.0000 3.5097 0.0000
0.0000 0.0000 3.5479
ATOMIC_POSITIONS crystal
O 0.0000 0.0000 0.5000
Be 0.0000 0.0000 0.0000
N 0.0000 0.5000 0.0000
N 0.5000 0.0000 0.0000
Pt 0.5000 0.5000 0.5000
! DOS(E_F) = 0.507 states/eV per atom
! energy relative to the elements, uncorrected = 1.006 eV/atom



The records above yield total magnetic moment values of 2.1 11.3 0.0 0.0 0.0 0.0 4.0 0.0 0.0 0.0 0.0 0.0 0.0 0.0 3.4 0.0 3.1 1.7 0.0 0.0 0.0 0.0 0.0 0.0 μB/cell, respectively.
The records above yield calculated total energy values of -31.2 -60.2 -17.1 -57.0 -25.4 -29.3 -57.8 -23.5 -46.9 -51.2 -27.1 -185.0 -77.7 -28.9 -72.4 -27.5 -26.0 -31.3 -34.7 -21.4 -45.9 -26.5 -55.9 -26.3 eV for the cell shown, respectively.